# 1
# Nd5ScTl3 (GGA-PBE, optimized geometry)
data_Nd5ScTl3
_space_group_name_H-M_alt 'P 63/m c m'
_space_group_IT_number 193
_space_group_name_Hall '-P 6c 2'
_cell_length_a 9.5924
_cell_length_b 9.5924
_cell_length_c 6.8079
_cell_angle_alpha 90.00
_cell_angle_beta 90.00
_cell_angle_gamma 120.00
loop_
_atom_site_label
_atom_site_type_symbol
_atom_site_fract_x
_atom_site_fract_y
_atom_site_fract_z
_atom_site_occupancy
Nd1 Nd 0.0000 0.3249 0.2500 1
Nd2 Nd 0.3333 0.6667 0.0000 1
Sc1 Sc 0.0000 0.0000 0.0000 1
Tl1 Tl 0.0000 0.3346 0.7500 1
# - DFT formation energy: -0.25 eV per atom



# 2
# ZnRePd (GGA-PBE, optimized geometry)
data_ZnRePd
_space_group_name_H-M_alt 'C 1 m 1'
_space_group_IT_number 8
_space_group_name_Hall 'C -2y'
_cell_length_a 9.4241
_cell_length_b 2.7960
_cell_length_c 7.3353
_cell_angle_alpha 90.00
_cell_angle_beta 113.53
_cell_angle_gamma 90.00
loop_
_atom_site_label
_atom_site_type_symbol
_atom_site_fract_x
_atom_site_fract_y
_atom_site_fract_z
_atom_site_occupancy
Zn1 Zn 0.0000 0.0000 0.0000 1
Zn2 Zn 0.1428 0.5000 0.8119 1
Re1 Re 0.3244 0.0000 0.1510 1
Re2 Re 0.4662 0.5000 0.4675 1
Pd1 Pd 0.1540 0.5000 0.3298 1
Pd2 Pd 0.3244 0.0000 0.6825 1
# - Excess energy over the best structure of this formula in the dataset: 42 meV per atom
# - DFT formation energy: 0.05 eV per atom



# 3
# LiEr3Cd4 (GGA-PBE, optimized geometry)
data_LiEr3Cd4
_space_group_name_H-M_alt 'P 4/m m m'
_space_group_IT_number 123
_space_group_name_Hall '-P 4 2'
_cell_length_a 3.6319
_cell_length_b 3.6319
_cell_length_c 14.6363
_cell_angle_alpha 90.00
_cell_angle_beta 90.00
_cell_angle_gamma 90.00
loop_
_atom_site_label
_atom_site_type_symbol
_atom_site_fract_x
_atom_site_fract_y
_atom_site_fract_z
_atom_site_occupancy
Li1 Li 0.0000 0.0000 0.0000 1
Er1 Er 0.0000 0.0000 0.2415 1
Er2 Er 0.0000 0.0000 0.5000 1
Cd1 Cd 0.5000 0.5000 0.1080 1
Cd2 Cd 0.5000 0.5000 0.3711 1
# - DFT formation energy: -0.29 eV per atom



# 4
# Pu3Ga3Ge2 (GGA-PBE, optimized geometry)
data_Pu3Ga3Ge2
_space_group_name_H-M_alt 'C m c m'
_space_group_IT_number 63
_space_group_name_Hall '-C 2c 2'
_cell_length_a 4.4382
_cell_length_b 10.6357
_cell_length_c 14.5251
_cell_angle_alpha 90.00
_cell_angle_beta 90.00
_cell_angle_gamma 90.00
loop_
_atom_site_label
_atom_site_type_symbol
_atom_site_fract_x
_atom_site_fract_y
_atom_site_fract_z
_atom_site_occupancy
Pu1 Pu 0.0000 0.0656 0.1079 1
Pu2 Pu 0.0000 0.3293 0.2500 1
Ga1 Ga 0.0000 0.3777 0.0400 1
Ga2 Ga 0.0000 0.3889 0.7500 1
Ge1 Ge 0.0000 0.2277 0.6082 1
# - DFT formation energy: -0.35 eV per atom



# 5
# NaTaCl3 (GGA-PBE, optimized geometry)
data_NaTaCl3
_space_group_name_H-M_alt 'P m -3 m'
_space_group_IT_number 221
_space_group_name_Hall '-P 4 2 3'
_cell_length_a 4.9544
_cell_length_b 4.9544
_cell_length_c 4.9544
_cell_angle_alpha 90.00
_cell_angle_beta 90.00
_cell_angle_gamma 90.00
loop_
_atom_site_label
_atom_site_type_symbol
_atom_site_fract_x
_atom_site_fract_y
_atom_site_fract_z
_atom_site_occupancy
Na1 Na 0.0000 0.0000 0.0000 1
Ta1 Ta 0.5000 0.5000 0.5000 1
Cl1 Cl 0.0000 0.5000 0.5000 1
# - Excess energy over the best structure of this formula in the dataset: 0 meV per atom
# - ΔE_f (raw): -706 meV/atom



# 6
# MgSiTe2 (GGA-PBE, optimized geometry)
data_MgSiTe2
_space_group_name_H-M_alt 'P m m m'
_space_group_IT_number 47
_space_group_name_Hall '-P 2 2'
_cell_length_a 3.9348
_cell_length_b 4.0230
_cell_length_c 7.3573
_cell_angle_alpha 90.00
_cell_angle_beta 90.00
_cell_angle_gamma 90.00
loop_
_atom_site_label
_atom_site_type_symbol
_atom_site_fract_x
_atom_site_fract_y
_atom_site_fract_z
_atom_site_occupancy
Mg1 Mg 0.0000 0.0000 0.0000 1
Si1 Si 0.0000 0.5000 0.5000 1
Te1 Te 0.5000 0.0000 0.5000 1
Te2 Te 0.5000 0.5000 0.0000 1
# - Excess energy over the best structure of this formula in the dataset: 375 meV per atom
# - ΔE_f (raw): 79 meV/atom



# 7
# TePAu (GGA-PBE, optimized geometry)
data_TePAu
_space_group_name_H-M_alt 'P -1'
_space_group_IT_number 2
_space_group_name_Hall '-P 1'
_cell_length_a 4.0030
_cell_length_b 6.0998
_cell_length_c 6.3788
_cell_angle_alpha 74.03
_cell_angle_beta 89.66
_cell_angle_gamma 89.71
loop_
_atom_site_label
_atom_site_type_symbol
_atom_site_fract_x
_atom_site_fract_y
_atom_site_fract_z
_atom_site_occupancy
Te1 Te 0.0000 0.0000 0.0000 1
Te2 Te 0.0000 0.0000 0.5000 1
P1 P 0.0013 0.4570 0.3451 1
Au1 Au 0.4986 0.3470 0.8268 1
# - Excess energy over the best structure of this formula in the dataset: 58 meV per atom
# - ΔE_f (raw): 64 meV/atom



# 8
# Cs3Cd2As2 (GGA-PBE, optimized geometry)
data_Cs3Cd2As2
_space_group_name_H-M_alt 'P b c m'
_space_group_IT_number 57
_space_group_name_Hall '-P 2c 2b'
_cell_length_a 7.2904
_cell_length_b 9.9020
_cell_length_c 14.9906
_cell_angle_alpha 90.00
_cell_angle_beta 90.00
_cell_angle_gamma 90.00
loop_
_atom_site_label
_atom_site_type_symbol
_atom_site_fract_x
_atom_site_fract_y
_atom_site_fract_z
_atom_site_occupancy
Cs1 Cs 0.1025 0.1441 0.1123 1
Cs2 Cs 0.3221 0.7081 0.7500 1
Cd1 Cd 0.3873 0.0170 0.5854 1
As1 As 0.2190 0.0601 0.7500 1
As2 As 0.4174 0.7500 0.0000 1
# - DFT formation energy: -0.27 eV per atom



no.,VASP energy (eV per cell)
1,-78.97
2,-75.09
3,-21.56
4,-256.47
5,-22.24
6,-12.99
7,-23.28
8,-62.36